This record from Alexandria via LeMat-Bulk describes crystalline BeV3Pb at its relaxed geometry. The functional is GGA-PBE.

Summary:
**Calculated formation energy**: 0.52 eV per atom
**Relative energy among the computed polymorphs**: 0.000 eV/atom

Cell lengths 4.2300, 4.2300, 4.2300 Å; angles 90.00, 90.00, 90.00 degrees
Fractional coordinates of all 5 atoms:
V  0.5000  0.0000  0.0000
V  0.0000  0.5000  0.0000
V  0.0000  0.0000  0.5000
Pb  0.5000  0.5000  0.5000
Be  0.0000  0.0000  0.0000

This record from Alexandria via LeMat-Bulk describes crystalline NiHgCl2 at its relaxed geometry. The functional is GGA-PBE.

Summary:
**ΔE_f (raw)**: -0.428 eV per atom
**Relative energy among the computed polymorphs**: 0.000 eV/atom

Cell lengths 3.4819, 3.4819, 9.9397 Å; angles 81.13, 81.13, 60.00 degrees
Last column: magnetic moment on the atom in μB.
Fractional coordinates of all 4 atoms:
Cl  0.9558  0.9558  0.1159  0.21
Cl  0.5442  0.5442  0.3841  0.21
Ni  0.2500  0.2500  0.2500  1.42
Hg  0.7500  0.7500  0.7500  0.01

What did we get for final energy? Answer: -6.441 -2.872 eV/atom, in the order shown.
What did we get for calculated volume? Answer: 15.14 25.67 Å³ per atom, in the order shown.
What did we get for DOS(E_F)? Answer: 5.3 0.8 states/eV/cell, in the order shown.